Here is a relaxed structure of TbTm3Al8 from the Alexandria database. Energies are from GGA-PBE.

a b c (Å): 5.5227 5.5227 9.0461
angles (deg): 90.00 90.00 120.00
Fractional positions:
Tb 0.0000 0.0000 0.0000
Tm 0.0000 0.0000 0.3651
Tm 0.6667 0.3333 0.4991
Tm 0.6667 0.3333 0.8641
Al 0.1620 0.3240 0.6814
Al 0.1620 0.8380 0.6814
Al 0.3333 0.6667 0.4331
Al 0.3333 0.6667 0.9317
Al 0.5046 0.0092 0.1838
Al 0.5046 0.4954 0.1838
Al 0.6760 0.8380 0.6814
Al 0.9908 0.4954 0.1838

Calculated formation energy: -575 kJ/mol of formula units
Relative energy among the computed polymorphs: 10 kJ/mol of formula units
Space group: P3m1, No. 156